First-principles (PBE-GGA) data for a relaxed PmPr2Al crystal, as listed in Alexandria.

Values from the calculation:
DFT formation energy = -175 meV per atom
Total DFT energy (no corrections) = -4.69 eV/atom
Crystal system = orthorhombic
Symmetry = Amm2 (38)

Unit cell a=5.412 b=7.143 c=7.143 alpha=120.06 beta=90.00 gamma=90.00
Atoms (fractional coordinates):
Pm (0.500, 0.643, 0.821)
Pm (0.500, 0.179, 0.357)
Pr (0.500, 0.178, 0.822)
Pr (0.000, 0.357, 0.180)
Pr (0.000, 0.820, 0.643)
Pr (0.000, 0.821, 0.179)
Al (0.500, 0.666, 0.334)
Al (0.000, 0.335, 0.665)